GGA-PBEsol Na3BiF, optimized geometry; formation energy without anion corrections = -1.213 eV per atom; electronic total energy = -3.2950 eV/atom; symmetry = Pm-3m (221)
1.0
4.7519 0.0000 0.0000
0.0000 4.7519 0.0000
0.0000 0.0000 4.7519
Na Bi F
3 1 1
Cartesian
0.0000 2.3759 0.0000
0.0000 0.0000 2.3759
2.3759 0.0000 0.0000
2.3759 2.3759 2.3759
0.0000 0.0000 0.0000